This record from Alexandria via LeMat-Bulk describes a relaxed structure of SbPWO2. The functional is PBE+U.

Structure (POSCAR):
```
SbPWO2
1.0
3.9284 0.0000 0.0000
0.0000 3.9284 0.0000
0.0000 0.0000 5.5085
O P Sb W
2 1 1 1
Direct
0.5000 0.0000 0.0000
0.0000 0.5000 0.0000
0.0000 0.0000 0.5000
0.5000 0.5000 0.5000
0.0000 0.0000 0.0000
```

## Properties
VASP energy (eV per atom): -6.05
Space group: No. 123